Density functional theory data (GGA-PBE) for a relaxed Re3Se7Br7 crystal.

```
data_Re3Se7Br7
_chemical_formula_sum 'Re12 Se28 Br28'
_symmetry_space_group_name_H-M 'P 1'
_symmetry_Int_Tables_number 1
_symmetry_space_group_name_Hall 'P 1'
_cell_length_a 10.031
_cell_length_b 10.031
_cell_length_c 25.313
_cell_angle_alpha 90.00
_cell_angle_beta 90.00
_cell_angle_gamma 120.00
loop_
_atom_site_label
_atom_site_fract_x
_atom_site_fract_y
_atom_site_fract_z
Re1 0.644 0.480 0.652
Re2 0.153 0.164 0.929
Re3 0.356 0.836 0.152
Re4 0.836 0.989 0.929
Re5 0.847 0.011 0.429
Re6 0.011 0.847 0.929
Re7 0.836 0.356 0.652
Re8 0.480 0.644 0.152
Re9 0.164 0.153 0.429
Re10 0.520 0.164 0.652
Re11 0.164 0.520 0.152
Re12 0.989 0.836 0.429
Br1 0.074 0.395 0.706
Br2 0.000 0.000 0.271
Br3 0.000 0.000 0.771
Br4 0.336 0.324 0.506
Br5 0.324 0.336 0.006
Br6 0.667 0.333 0.809
Br7 0.664 0.989 0.006
Br8 0.320 0.926 0.706
Br9 0.037 0.638 0.877
Br10 0.333 0.667 0.309
Br11 0.399 0.362 0.377
Br12 0.605 0.680 0.706
Br13 0.011 0.676 0.006
Br14 0.926 0.320 0.206
Br15 0.638 0.037 0.377
Br16 0.362 0.399 0.877
Br17 0.963 0.601 0.377
Br18 0.021 0.377 0.577
Br19 0.643 0.623 0.077
Br20 0.623 0.643 0.577
Br21 0.680 0.605 0.206
Br22 0.601 0.963 0.877
Br23 0.377 0.021 0.077
Br24 0.979 0.357 0.077
Br25 0.395 0.074 0.206
Br26 0.357 0.979 0.577
Br27 0.676 0.011 0.506
Br28 0.989 0.664 0.506
Se1 0.667 0.333 0.577
Se2 0.693 0.713 0.441
Se3 0.987 0.183 0.858
Se4 0.183 0.987 0.358
Se5 0.307 0.020 0.941
Se6 0.694 0.158 0.723
Se7 0.464 0.306 0.723
Se8 0.000 0.000 0.004
Se9 0.351 0.291 0.639
Se10 0.287 0.980 0.441
Se11 0.709 0.060 0.639
Se12 0.713 0.693 0.941
Se13 0.980 0.287 0.941
Se14 0.158 0.694 0.223
Se15 0.020 0.307 0.441
Se16 0.197 0.013 0.858
Se17 0.000 0.000 0.504
Se18 0.536 0.842 0.223
Se19 0.649 0.940 0.139
Se20 0.803 0.817 0.358
Se21 0.842 0.536 0.723
Se22 0.333 0.667 0.077
Se23 0.291 0.351 0.139
Se24 0.940 0.649 0.639
Se25 0.060 0.709 0.139
Se26 0.817 0.803 0.858
Se27 0.013 0.197 0.358
Se28 0.306 0.464 0.223
```

Computed properties:
ρ	5.03	g cm⁻³
formation energy without anion corrections	-5.5	eV/f.u.

Density functional theory data (GGA-PBE) for a relaxed Re3Se4Br crystal.

```
data_Re3Se4Br
_chemical_formula_sum 'Re12 Se16 Br4'
_symmetry_space_group_name_H-M 'P 1'
_symmetry_Int_Tables_number 1
_symmetry_space_group_name_Hall 'P 1'
_cell_length_a 11.977
_cell_length_b 6.681
_cell_length_c 11.756
_cell_angle_alpha 68.64
_cell_angle_beta 90.00
_cell_angle_gamma 90.00
loop_
_atom_site_label
_atom_site_fract_x
_atom_site_fract_y
_atom_site_fract_z
Se1 0.584 0.279 0.241
Se2 0.948 0.720 0.840
Se3 0.818 0.665 0.135
Se4 0.182 0.335 0.865
Se5 0.084 0.721 0.259
Se6 0.916 0.279 0.741
Se7 0.552 0.720 0.340
Se8 0.052 0.280 0.160
Se9 0.416 0.721 0.759
Se10 0.218 0.762 0.979
Se11 0.718 0.238 0.521
Se12 0.782 0.238 0.021
Se13 0.318 0.335 0.365
Se14 0.282 0.762 0.479
Se15 0.682 0.665 0.635
Se16 0.448 0.280 0.660
Re1 0.929 0.978 0.147
Re2 0.140 0.029 0.065
Re3 0.360 0.029 0.565
Re4 0.982 0.298 0.942
Re5 0.071 0.022 0.853
Re6 0.571 0.978 0.647
Re7 0.429 0.022 0.353
Re8 0.640 0.971 0.435
Re9 0.860 0.971 0.935
Re10 0.018 0.702 0.058
Re11 0.482 0.702 0.558
Re12 0.518 0.298 0.442
Br1 0.346 0.079 0.134
Br2 0.654 0.921 0.866
Br3 0.154 0.079 0.634
Br4 0.846 0.921 0.366
```

Computed properties:
ρ	7.24	g cm⁻³
formation energy without anion corrections	-3.7	eV/f.u.

Density functional theory data (GGA-PBE) for a relaxed ReSe4Br crystal.

```
data_ReSe4Br
_chemical_formula_sum 'Re2 Se8 Br2'
_symmetry_space_group_name_H-M 'P 1'
_symmetry_Int_Tables_number 1
_symmetry_space_group_name_Hall 'P 1'
_cell_length_a 6.333
_cell_length_b 7.260
_cell_length_c 8.809
_cell_angle_alpha 118.65
_cell_angle_beta 97.91
_cell_angle_gamma 105.97
loop_
_atom_site_label
_atom_site_fract_x
_atom_site_fract_y
_atom_site_fract_z
Se1 0.972 0.830 0.141
Se2 0.133 0.316 0.178
Se3 0.028 0.170 0.859
Se4 0.567 0.249 0.926
Se5 0.391 0.824 0.715
Se6 0.609 0.176 0.285
Se7 0.867 0.684 0.822
Se8 0.433 0.751 0.074
Re1 0.724 0.999 0.001
Re2 0.276 0.001 0.999
Br1 0.786 0.650 0.447
Br2 0.214 0.350 0.553
```

Computed properties:
ρ	5.97	g cm⁻³
formation energy without anion corrections	-0.7	eV/f.u.
energy relative to the lowest polymorph listed for this composition	0	meV/atom

Density functional theory data (GGA-PBE) for a relaxed ReSe2Br8 crystal.

```
data_ReSe2Br8
_chemical_formula_sum 'Re1 Se2 Br8'
_symmetry_space_group_name_H-M 'P 1'
_symmetry_Int_Tables_number 1
_symmetry_space_group_name_Hall 'P 1'
_cell_length_a 8.732
_cell_length_b 7.385
_cell_length_c 7.861
_cell_angle_alpha 92.20
_cell_angle_beta 95.30
_cell_angle_gamma 60.75
loop_
_atom_site_label
_atom_site_fract_x
_atom_site_fract_y
_atom_site_fract_z
Br1 0.255 0.188 0.718
Br2 0.809 0.369 0.906
Br3 0.745 0.291 0.412
Br4 0.185 0.101 0.198
Br5 0.815 0.899 0.802
Br6 0.255 0.709 0.588
Br7 0.191 0.631 0.094
Br8 0.745 0.812 0.282
Se1 0.274 0.889 0.838
Se2 0.726 0.111 0.162
Re1 0.000 0.000 0.000
```

Computed properties:
ρ	3.71	g cm⁻³
formation energy without anion corrections	-1.6	eV/f.u.

Density functional theory data (GGA-PBE) for a relaxed Re2Se4Br crystal.

```
data_Re2Se4Br
_chemical_formula_sum 'Re4 Se8 Br2'
_symmetry_space_group_name_H-M 'P 1'
_symmetry_Int_Tables_number 1
_symmetry_space_group_name_Hall 'P 1'
_cell_length_a 6.870
_cell_length_b 6.963
_cell_length_c 8.239
_cell_angle_alpha 114.64
_cell_angle_beta 116.23
_cell_angle_gamma 90.81
loop_
_atom_site_label
_atom_site_fract_x
_atom_site_fract_y
_atom_site_fract_z
Se1 0.905 0.161 0.311
Se2 0.337 0.599 0.198
Se3 0.404 0.178 0.879
Se4 0.809 0.550 0.649
Se5 0.409 0.702 0.881
Se6 0.834 0.568 0.126
Se7 0.436 0.170 0.341
Se8 0.806 0.100 0.652
Re1 0.653 0.848 0.274
Re2 0.529 0.369 0.734
Re3 0.649 0.429 0.271
Re4 0.131 0.347 0.695
Br1 0.043 0.971 0.970
Br2 0.306 0.757 0.516
```

Computed properties:
ρ	8.18	g cm⁻³
formation energy without anion corrections	0.8	eV/f.u.

Density functional theory data (GGA-PBE) for a relaxed Re3SeBr crystal.

```
data_Re3SeBr
_chemical_formula_sum 'Re3 Se1 Br1'
_symmetry_space_group_name_H-M 'P 1'
_symmetry_Int_Tables_number 1
_symmetry_space_group_name_Hall 'P 1'
_cell_length_a 4.649
_cell_length_b 4.649
_cell_length_c 4.649
_cell_angle_alpha 90.00
_cell_angle_beta 90.00
_cell_angle_gamma 90.00
loop_
_atom_site_label
_atom_site_fract_x
_atom_site_fract_y
_atom_site_fract_z
Re1 0.500 0.000 0.000
Re2 0.000 0.500 0.000
Re3 0.000 0.000 0.500
Se1 0.000 0.000 0.000
Br1 0.500 0.500 0.500
```

Computed properties:
ρ	11.86	g cm⁻³
formation energy without anion corrections	11.2	eV/f.u.
energy relative to the lowest polymorph listed for this composition	0	meV/atom

Density functional theory data (GGA-PBE) for a relaxed ReSe3Br crystal.

```
data_ReSe3Br
_chemical_formula_sum 'Re1 Se3 Br1'
_symmetry_space_group_name_H-M 'P 1'
_symmetry_Int_Tables_number 1
_symmetry_space_group_name_Hall 'P 1'
_cell_length_a 5.126
_cell_length_b 5.126
_cell_length_c 5.126
_cell_angle_alpha 90.00
_cell_angle_beta 90.00
_cell_angle_gamma 90.00
loop_
_atom_site_label
_atom_site_fract_x
_atom_site_fract_y
_atom_site_fract_z
Br1 0.000 0.000 0.000
Se1 0.500 0.000 0.000
Se2 0.000 0.500 0.000
Se3 0.000 0.000 0.500
Re1 0.500 0.500 0.500
```

Computed properties:
ρ	6.20	g cm⁻³
formation energy without anion corrections	9.1	eV/f.u.
energy relative to the lowest polymorph listed for this composition	1807	meV/atom

Density functional theory data (GGA-PBE) for a relaxed ReSeBr3 crystal.

```
data_ReSeBr3
_chemical_formula_sum 'Re1 Se1 Br3'
_symmetry_space_group_name_H-M 'P 1'
_symmetry_Int_Tables_number 1
_symmetry_space_group_name_Hall 'P 1'
_cell_length_a 5.424
_cell_length_b 5.424
_cell_length_c 5.424
_cell_angle_alpha 90.00
_cell_angle_beta 90.00
_cell_angle_gamma 90.00
loop_
_atom_site_label
_atom_site_fract_x
_atom_site_fract_y
_atom_site_fract_z
Se1 0.000 0.000 0.000
Br1 0.500 0.000 0.000
Br2 0.000 0.500 0.000
Br3 0.000 0.000 0.500
Re1 0.500 0.500 0.500
```

Computed properties:
ρ	5.25	g cm⁻³
formation energy without anion corrections	5.9	eV/f.u.
energy relative to the lowest polymorph listed for this composition	460	meV/atom